No. 1
This record from the Alexandria database describes a geometry-optimized Rb2Ce2SnSe6 structure. The functional is PBE.

The structure in POSCAR format:
```
Rb2Ce2SnSe6
1.0
-4.9096 0.8616 -5.5702
6.8362 -2.6815 -1.3961
-3.3053 -6.9237 3.4238
Se Sn Rb Ce
6 1 2 2
Direct
0.7145 0.7145 0.6914
0.9412 0.5926 0.3099
0.0588 0.4074 0.6901
0.5926 0.9412 0.3099
0.2855 0.2855 0.3086
0.4074 0.0588 0.6901
0.0000 0.0000 0.5000
0.1616 0.8384 0.0000
0.8384 0.1616 0.0000
0.6659 0.3341 0.5000
0.3341 0.6659 0.5000
```

Calculated values
Calculated volume in Å³ per cell: 389
Uncorrected formation energy in meV per atom: -1366
Mass density in g/cm³: 4.45
Space group: C2/m (12)
Magnetic moment in μB per formula unit: 0.26

No. 2
This record from the Alexandria database describes a geometry-optimized Ho3In4Ni2 structure. The functional is PBE.

The structure in POSCAR format:
```
Ho3In4Ni2
1.0
4.3997 0.0000 1.1737
1.8857 5.4087 1.7645
0.0946 -0.1556 8.4789
Ho In Ni
3 4 2
Direct
0.3141 0.7436 0.6283
0.6859 0.2564 0.3717
0.0000 0.0000 0.0000
0.7250 0.6306 0.9194
0.2750 0.3694 0.0806
0.9782 0.6907 0.3530
0.0218 0.3093 0.6470
0.4028 0.9266 0.2677
0.5972 0.0734 0.7323
```

Calculated values
Calculated volume in Å³ per cell: 202
Energy relative to the elements in eV per atom: -0.4113
Mass density in g/cm³: 8.81
Space group: C2/m (12)
Magnetic moment in μB per formula unit: 0.00